# 1
## AlCdMo2 (GGA-PBEsol)

Data for a relaxed structure of AlCdMo2.

Unit cell a=9.6261 b=9.6261 c=9.6261 alpha=16.93 beta=16.93 gamma=16.93
Positions (direct):
Al 0.0000 0.0000 0.0000
Cd 0.2428 0.2428 0.2428
Mo 0.4877 0.4877 0.4877
Mo 0.7423 0.7423 0.7423

space-group type: No. 160
DFT formation energy: 265.7 meV/atom
crystal system: trigonal
Fermi-level density of states: 4.2 states/eV/f.u.
distance to the lowest polymorph of the same formula: 15.3 kJ/mol of atoms
spin magnetization: 0.00 Bohr magnetons per cell
DFT total energy: -6.940 eV/atom

=====

# 2
## OsI2NO (GGA-PBEsol)

Data for a relaxed structure of OsI2NO.

Unit cell a=5.4617 b=5.4617 c=3.6936 alpha=90.00 beta=90.00 gamma=90.00
Positions (direct):
Os 0.0000 0.0000 0.0000
I 0.0000 0.5000 0.0000
I 0.5000 0.0000 0.0000
N 0.5000 0.5000 0.5000
O 0.0000 0.0000 0.5000

space-group type: No. 123
crystal system: tetragonal
Fermi-level density of states: 3.9 states/eV/f.u.
spin magnetization: 2.26 Bohr magnetons per cell
energy relative to the elements, uncorrected: 980 meV per atom
DFT total energy: -4.925 eV/atom